Material: ZnIrSe
Method: DFT, PBE
State: optimized geometry

Summary:
The calculation puts the formation energy (no corrections) at 0.11 eV/atom.

a b c (Å): 3.2100 3.2100 5.8176
angles (deg): 90.00 90.00 120.00
With the nearest neighbours (Å) after each atom.
Space group P3m1 (No. 156)
Symmetry-distinct sites (fractional):
Zn 0.0000 0.0000 0.0000 x1  3 Ir 2.64, 3 Se 2.93
Ir 0.3333 0.6667 0.3241 x1  3 Se 2.49, 3 Zn 2.64
Se 0.6667 0.3333 0.6109 x1  3 Ir 2.49

***

Material: Co2ReRu
Method: DFT, PBE
State: optimized geometry

a b c (Å): 3.9930 2.6019 9.5265
angles (deg): 90.00 90.00 90.00
With the nearest neighbours (Å) after each atom.
Space group Amm2 (No. 38)
Symmetry-distinct sites (fractional):
Co 0.0000 0.0000 0.0000 x2  4 Co 2.36-2.60, 3 Re 2.51-2.60, 4 Ru 2.57
Co 0.5000 0.0000 0.1314 x2  4 Co 2.36-2.60, 3 Ru 2.56, 4 Re 2.58
Re 0.0000 0.0000 0.7362 x2  7 Co 2.51-2.60, 2 Re 2.60
Ru 0.5000 0.0000 0.4000 x2  7 Co 2.56-2.57, 2 Ru 2.60, 4 Re 2.85

***

What energy relative to the lowest polymorph listed for this composition values result from the calculations? In sequence: 0.140 0.000 eV per formula unit.